Record 1
Zn5H3Br12: optimized geometry, PBE.

Values from the calculation:
**Total energy**: -2.0065 eV/atom

The structure in CIF format:
```
data_Zn5H3Br12
_space_group_name_H-M_alt 'I a -3 d'
_space_group_IT_number 230
_space_group_name_Hall '-I 4bd 2c 3'
_cell_length_a 16.237
_cell_length_b 16.237
_cell_length_c 16.237
_cell_angle_alpha 90.00
_cell_angle_beta 90.00
_cell_angle_gamma 90.00
loop_
_atom_site_label
_atom_site_type_symbol
_atom_site_fract_x
_atom_site_fract_y
_atom_site_fract_z
Zn1 Zn 0.000 0.000 0.000
Zn2 Zn 0.000 0.250 0.375
H1 H 0.000 0.250 0.125
Br1 Br 0.031 0.060 0.649
```


Record 2
Li2ReSbRu: optimized geometry, PBE.

Values from the calculation:
**Formation energy from raw total energies**: 1.44 eV/atom

The structure in CIF format:
```
data_Li2ReSbRu
_space_group_name_H-M_alt 'P 4/m m m'
_space_group_IT_number 123
_space_group_name_Hall '-P 4 2'
_cell_length_a 4.588
_cell_length_b 4.588
_cell_length_c 5.005
_cell_angle_alpha 90.00
_cell_angle_beta 90.00
_cell_angle_gamma 90.00
loop_
_atom_site_label
_atom_site_type_symbol
_atom_site_fract_x
_atom_site_fract_y
_atom_site_fract_z
Li1 Li 0.000 0.500 0.000
Re1 Re 0.000 0.000 0.000
Sb1 Sb 0.000 0.000 0.500
Ru1 Ru 0.500 0.500 0.500
```